Entry from the Alexandria database: a relaxed CeEr3In4 crystal (PBE-GGA).

abc: 10.752 7.249 5.481
angles: 90.00 90.00 90.00
Space group Pmma (No. 51)
Inequivalent atoms, fractional coordinates:
Ce (0.000, 0.000, 0.000)
Er (0.000, 0.500, 0.000)
Er (0.250, 0.000, 0.432)
Er (0.250, 0.500, 0.424)
In (0.000, 0.260, 0.500)
In (0.250, 0.259, 0.921)

## Properties
Formation energy ... -0.41 eV/atom